Compound: Ba3TmMo2O9
Source: Alexandria
Functional: PBE with a Hubbard U
Structure: relaxed

abc: 5.956 5.956 7.226
angles: 90.00 90.00 120.00
Sites, in units of the cell vectors:
Ba: 0.333 0.667 0.669
Ba: 0.000 0.000 0.000
Ba: 0.667 0.333 0.331
Tm: 0.000 0.000 0.500
Mo: 0.333 0.667 0.163
Mo: 0.667 0.333 0.837
O: 0.827 0.173 0.679
O: 0.827 0.654 0.679
O: 0.346 0.173 0.679
O: 0.654 0.827 0.321
O: 0.173 0.346 0.321
O: 0.173 0.827 0.321
O: 0.500 0.000 0.000
O: 0.000 0.500 0.000
O: 0.500 0.500 0.000

Summary:
Calculated volume, Å³/f.u.: 222.0
Uncorrected energy, eV per atom: -7.16